A plane-wave DFT calculation with PBE was carried out for LiNd5Tl3 after structural relaxation.

Calculated values
Total moment   0.00 μB/f.u.
Symmetry   P6_3/mcm, No. 193
Crystal system   hexagonal
ΔE_f   -26 kJ/mol of atoms

Unit cell a=9.6093 b=9.6093 c=6.8054 alpha=90.00 beta=90.00 gamma=120.00
Atoms (fractional coordinates):
Li 0.0000 0.0000 0.0000
Li 0.0000 0.0000 0.5000
Nd 0.0000 0.3132 0.2500
Nd 0.0000 0.6868 0.7500
Nd 0.3132 0.0000 0.2500
Nd 0.3132 0.3132 0.7500
Nd 0.3333 0.6667 0.0000
Nd 0.3333 0.6667 0.5000
Nd 0.6667 0.3333 0.0000
Nd 0.6667 0.3333 0.5000
Nd 0.6868 0.0000 0.7500
Nd 0.6868 0.6868 0.2500
Tl 0.0000 0.3451 0.7500
Tl 0.0000 0.6549 0.2500
Tl 0.3451 0.0000 0.7500
Tl 0.3451 0.3451 0.2500
Tl 0.6549 0.0000 0.2500
Tl 0.6549 0.6549 0.7500

A plane-wave DFT calculation with PBE was carried out for ZrGa2Pd after structural relaxation.

Calculated values
Total moment   0.00 μB/f.u.
Symmetry   P4/mmm, No. 123
Crystal system   tetragonal
ΔE_f   -59 kJ/mol of atoms

Unit cell a=4.1216 b=4.1216 c=4.0358 alpha=90.00 beta=90.00 gamma=90.00
Atoms (fractional coordinates):
Zr 0.0000 0.0000 0.0000
Ga 0.0000 0.5000 0.5000
Ga 0.5000 0.0000 0.5000
Pd 0.5000 0.5000 0.0000

A plane-wave DFT calculation with PBE was carried out for VIn after structural relaxation.

Calculated values
Total moment   0.00 μB/f.u.
Symmetry   Amm2, No. 38
Crystal system   orthorhombic
ΔE_f   25 kJ/mol of atoms

Unit cell a=2.9421 b=6.9306 c=6.9306 alpha=120.78 beta=90.00 gamma=90.00
Atoms (fractional coordinates):
V 0.0000 0.0000 0.0000
V 0.5000 0.1426 0.3344
V 0.5000 0.3344 0.1426
In 0.0000 0.2295 0.7353
In 0.0000 0.7353 0.2295
In 0.5000 0.6277 0.6277

A plane-wave DFT calculation with PBE was carried out for Pm8RuRh2 after structural relaxation.

Calculated values
Total moment   0.00 μB/f.u.
Symmetry   Cm, No. 8
Crystal system   monoclinic
ΔE_f   -26 kJ/mol of atoms

Unit cell a=7.6875 b=7.6875 c=6.2556 alpha=101.12 beta=101.12 gamma=114.25
Atoms (fractional coordinates):
Pm 0.0000 0.0000 0.0000
Pm 0.0133 0.2721 0.5889
Pm 0.1513 0.5656 0.1844
Pm 0.2721 0.0133 0.5889
Pm 0.4383 0.6956 0.7981
Pm 0.5656 0.1513 0.1844
Pm 0.6956 0.4383 0.7981
Pm 0.7093 0.7093 0.3639
Ru 0.3527 0.3527 0.0371
Rh 0.0421 0.6613 0.6850
Rh 0.6613 0.0421 0.6850